The following is a PBEsol calculation of Ca4AgBr after structural relaxation, from Alexandria via LeMat-Bulk.

Cell and atoms, written as POSCAR:
```
Ca4AgBr
1.0
0.000 4.757 4.757
4.757 0.000 4.757
4.757 4.757 0.000
Ca Ag Br
4 1 1
Cartesian
3.573 3.573 3.573
5.940 5.940 3.573
5.940 3.573 5.940
3.573 5.940 5.940
7.135 7.135 7.135
0.000 0.000 0.000
```

Output
Energy, eV per atom: -2.087
Space-group type: No. 216
Uncorrected formation energy, eV per atom: 0.20